# PmInSbRh3 (GGA-PBE, relaxed)
data_PmInSbRh3
_cell_length_a 5.659
_cell_length_b 17.259
_cell_length_c 5.679
_cell_angle_alpha 90.00
_cell_angle_beta 90.00
_cell_angle_gamma 90.00
_space_group_name_H-M_alt 'C m c m'
_space_group_IT_number 63
_space_group_name_Hall '-C 2c 2'
loop_
_atom_site_label
_atom_site_type_symbol
_atom_site_fract_x
_atom_site_fract_y
_atom_site_fract_z
_atom_site_occupancy
Pm1 Pm 0.000 0.226 0.250 1
In1 In 0.000 0.107 0.750 1
Sb1 Sb 0.000 0.409 0.750 1
Rh1 Rh 0.000 0.260 0.750 1
Rh2 Rh 0.240 0.000 0.000 1
# * raw formation energy: -0.396 eV per atom